Below is TlTe2Cl after structural relaxation, with properties calculated at the PBE-GGA level.

a b c (Å): 5.446 5.446 5.446
angles (deg): 60.00 60.00 60.00
Sites, in units of the cell vectors:
Te 0.000 0.000 0.000
Te 0.250 0.250 0.250
Tl 0.750 0.750 0.750
Cl 0.500 0.500 0.500

## Properties
**Crystal system**: cubic
**Energy relative to the lowest polymorph listed for this composition**: 334.0 meV per atom
**Theoretical density**: 7.2 Mg/m³
**Formation energy from raw total energies**: -6.5 kJ/mol of atoms

Below is Tb3Pr2PuAs6 after structural relaxation, with properties calculated at the PBE-GGA level.

a b c (Å): 4.200 8.389 9.372
angles (deg): 102.88 102.95 90.00
Sites, in units of the cell vectors:
Tb 0.500 0.500 0.000
Tb 0.168 0.834 0.335
Tb 0.832 0.166 0.665
Pr 0.834 0.666 0.667
Pr 0.166 0.334 0.333
As 0.336 0.410 0.671
As 0.334 0.924 0.669
As 0.003 0.754 0.005
As 0.664 0.590 0.329
As 0.666 0.076 0.331
As 0.997 0.246 0.995
Pu 0.500 0.000 0.000

## Properties
**Crystal system**: monoclinic
**Theoretical density**: 7.7 Mg/m³
**DFT total energy**: -82.78 eV for the cell shown

Below is Cs2LaZrPd after structural relaxation, with properties calculated at the PBE-GGA level.

a b c (Å): 6.313 6.313 5.381
angles (deg): 90.00 90.00 90.00
Sites, in units of the cell vectors:
Pd 0.000 0.000 0.000
Cs 0.500 0.000 0.000
Cs 0.000 0.500 0.000
Zr 0.000 0.000 0.500
La 0.500 0.500 0.500

## Properties
**Crystal system**: tetragonal
**Theoretical density**: 4.7 Mg/m³
**DFT total energy**: -15.81 eV for the cell shown

Below is Al2GaAg6 after structural relaxation, with properties calculated at the PBE-GGA level.

a b c (Å): 4.379 6.138 7.638
angles (deg): 65.08 106.66 90.00
Sites, in units of the cell vectors:
Ag 0.330 0.421 0.661
Ag 0.670 0.579 0.339
Ag 0.666 0.086 0.332
Ag 0.002 0.250 0.005
Ag 0.998 0.750 0.995
Ag 0.334 0.914 0.668
Al 0.167 0.334 0.333
Al 0.833 0.666 0.667
Ga 0.500 0.000 0.000

## Properties
**Crystal system**: monoclinic
**Energy relative to the lowest polymorph listed for this composition**: 108.3 meV per atom
**Theoretical density**: 7.2 Mg/m³

Below is NiTe2H after structural relaxation, with properties calculated at the PBE-GGA level.

a b c (Å): 3.968 6.752 5.886
angles (deg): 91.56 90.00 90.00
Sites, in units of the cell vectors:
Te 0.540 0.024 0.504
Te 0.539 0.383 0.952
Te 0.025 0.524 0.504
Te 0.025 0.883 0.952
Ni 0.061 0.203 0.728
Ni 0.504 0.703 0.728
H 0.282 0.954 0.227
H 0.282 0.454 0.227

## Properties
**Crystal system**: monoclinic
**Energy relative to the lowest polymorph listed for this composition**: 17.8 meV per atom
**Theoretical density**: 6.6 Mg/m³

Below is SiAgO2 after structural relaxation, with properties calculated at the PBE-GGA level.

a b c (Å): 6.607 6.607 6.607
angles (deg): 27.94 27.94 27.94
Sites, in units of the cell vectors:
O 0.917 0.917 0.917
O 0.083 0.083 0.083
Si 0.000 0.000 0.000
Ag 0.500 0.500 0.500

## Properties
**Crystal system**: trigonal
**Theoretical density**: 5.0 Mg/m³
**Formation energy from raw total energies**: -66.6 kJ/mol of atoms

Below is NaSrCa2Au after structural relaxation, with properties calculated at the PBE-GGA level.

a b c (Å): 5.830 5.830 6.114
angles (deg): 90.00 90.00 90.00
Sites, in units of the cell vectors:
Ca 0.500 0.000 0.000
Ca 0.000 0.500 0.000
Sr 0.000 0.000 0.500
Au 0.000 0.000 0.000
Na 0.500 0.500 0.500

## Properties
**Crystal system**: tetragonal
**Energy relative to the lowest polymorph listed for this composition**: 0.0 meV per atom
**Theoretical density**: 3.1 Mg/m³

Below is Ba2PmHg10 after structural relaxation, with properties calculated at the PBE-GGA level.

a b c (Å): 6.026 13.680 11.220
angles (deg): 90.00 90.00 90.00
Sites, in units of the cell vectors:
Hg 0.000 0.885 0.469
Hg 0.255 0.189 0.085
Hg 0.745 0.311 0.585
Hg 0.000 0.179 0.805
Hg 0.255 0.689 0.415
Hg 0.000 0.821 0.195
Hg 0.000 0.538 0.226
Hg 0.000 0.385 0.031
Hg 0.000 0.115 0.531
Hg 0.255 0.811 0.915
Hg 0.000 0.462 0.774
Hg 0.000 0.321 0.305
Hg 0.000 0.962 0.726
Hg 0.000 0.679 0.695
Hg 0.745 0.689 0.415
Hg 0.000 0.038 0.274
Hg 0.000 0.615 0.969
Hg 0.255 0.311 0.585
Hg 0.745 0.189 0.085
Hg 0.745 0.811 0.915
Ba 0.500 0.665 0.136
Ba 0.500 0.835 0.636
Ba 0.500 0.165 0.364
Ba 0.500 0.335 0.864
Pm 0.000 0.000 0.000
Pm 0.000 0.500 0.500

## Properties
**Crystal system**: orthorhombic
**Theoretical density**: 8.7 Mg/m³
**DFT total energy**: -28.10 eV for the cell shown

Below is Y2SiSnPt6 after structural relaxation, with properties calculated at the PBE-GGA level.

a b c (Å): 6.622 6.436 6.599
angles (deg): 85.62 49.23 106.24
Sites, in units of the cell vectors:
Pt 0.241 0.410 0.829
Pt 0.693 0.175 0.012
Pt 0.184 0.173 0.519
Pt 0.307 0.825 0.988
Pt 0.759 0.590 0.171
Pt 0.816 0.827 0.481
Sn 0.500 0.500 0.000
Si 0.000 0.000 0.000
Y 0.252 0.750 0.501
Y 0.748 0.250 0.499

## Properties
**Crystal system**: triclinic
**Theoretical density**: 13.0 Mg/m³
**Formation energy from raw total energies**: -79.0 kJ/mol of atoms

Below is ThInS2N after structural relaxation, with properties calculated at the PBE-GGA level.

a b c (Å): 4.037 4.037 13.049
angles (deg): 90.00 90.00 90.00
Sites, in units of the cell vectors:
S 0.000 0.500 0.708
S 0.500 0.000 0.292
S 0.000 0.500 0.086
S 0.500 0.000 0.914
Th 0.500 0.000 0.591
Th 0.000 0.500 0.409
In 0.000 0.500 0.892
In 0.500 0.000 0.108
N 0.000 0.000 0.500
N 0.500 0.500 0.500

## Properties
**Crystal system**: tetragonal
**Theoretical density**: 6.6 Mg/m³
**Formation energy from raw total energies**: -120.0 kJ/mol of atoms

Below is TiBSe3 after structural relaxation, with properties calculated at the PBE-GGA level.

a b c (Å): 4.441 4.441 4.441
angles (deg): 90.00 90.00 90.00
Sites, in units of the cell vectors:
Ti 0.500 0.500 0.500
Se 0.000 0.500 0.000
Se 0.500 0.000 0.000
Se 0.000 0.000 0.500
B 0.000 0.000 0.000

## Properties
**Crystal system**: cubic
**Energy relative to the lowest polymorph listed for this composition**: 0.0 meV per atom
**Theoretical density**: 5.6 Mg/m³
**Formation energy from raw total energies**: 41.1 kJ/mol of atoms

Below is AcAlSiPt6 after structural relaxation, with properties calculated at the PBE-GGA level.

a b c (Å): 7.533 8.572 8.062
angles (deg): 122.12 117.85 90.00
Sites, in units of the cell vectors:
Si 0.500 0.500 0.000
Si 0.500 0.000 0.000
Pt 0.116 0.866 0.232
Pt 0.621 0.360 0.751
Pt 0.411 0.661 0.822
Pt 0.379 0.109 0.249
Pt 0.130 0.360 0.751
Pt 0.884 0.134 0.768
Pt 0.870 0.109 0.249
Pt 0.130 0.891 0.751
Pt 0.589 0.339 0.178
Pt 0.870 0.640 0.249
Pt 0.621 0.891 0.751
Pt 0.379 0.640 0.249
Ac 0.851 0.601 0.702
Ac 0.149 0.399 0.298
Al 0.000 0.000 0.500
Al 0.500 0.000 0.500

## Properties
**Crystal system**: orthorhombic
**Theoretical density**: 13.1 Mg/m³
**Formation energy from raw total energies**: -60.0 kJ/mol of atoms